Compound: CaGaSi3
Source: the Alexandria database
Functional: PBE
Structure: relaxed

## Properties
Calculated density in g/cm3: 2.133
Uncorrected energy in eV per cell: -14.4
Total magnetic moment in μB/cell: 0.681
Energy relative to the lowest polymorph listed for this composition in eV/f.u.: 4.38
SG: Pm-3m, No. 221
Raw formation energy in eV per atom: 1.371

Cell: 5.3256 5.3256 5.3256 Å, 90.00 90.00 90.00°
Sites, in units of the cell vectors:
1 Ca 0.0000 0.0000 0.0000
2 Ga 0.5000 0.5000 0.5000
3 Si 0.0000 0.0000 0.5000
4 Si 0.0000 0.5000 0.0000
5 Si 0.5000 0.0000 0.0000